A geometry-optimized Mo5Os structure, computed with PBE.

Summary:
As for the space-group type: P4/mmm, No. 123. As for the energy above the lowest structure with this stoichiometry: 147 meV/atom. The calculation puts the electronic total energy at -10.666 eV/atom. Its density of states at the Fermi level is 0.800 states/eV per atom. For the spin magnetization, the calculation gives 0.000 μB per cell. The value obtained for the volume is 95 Å³ per cell.

```
data_Mo5Os
_chemical_formula_sum 'Mo5 Os1'
_cell_length_a 2.708
_cell_length_b 2.708
_cell_length_c 13.023
_cell_angle_alpha 90.00
_cell_angle_beta 90.00
_cell_angle_gamma 90.00
_symmetry_space_group_name_H-M 'P 1'
_symmetry_Int_Tables_number 1
_symmetry_space_group_name_Hall 'P 1'
loop_
_atom_site_label
_atom_site_type_symbol
_atom_site_fract_x
_atom_site_fract_y
_atom_site_fract_z
Mo1 Mo 0.000 0.000 0.850
Mo2 Mo 0.000 0.000 0.500
Os1 Os 0.500 0.500 0.000
Mo3 Mo 0.500 0.500 0.324
Mo4 Mo 0.500 0.500 0.676
Mo5 Mo 0.000 0.000 0.150
```